Computed, not measured: crystalline SrErAu2 at its relaxed geometry at the PBE-GGA level of DFT.

Computed properties:
For the formation energy from the elements, the calculation gives -0.696 eV/atom. Its calculated density is 9.3 g/cm3. The value obtained for the excess energy over the best structure of this formula in the dataset is 111 meV per atom. As for the symmetry: No. 160.

Structure (POSCAR):
```
SrErAu2
1.0
4.187 0.000 0.000
2.094 3.626 0.000
2.094 1.209 7.591
Sr Er Au
1 1 2
Cartesian
4.187 2.417 3.833
6.281 3.626 7.553
2.094 1.209 5.946
2.094 1.209 1.646
```



Computed, not measured: crystalline SrErAu at its relaxed geometry at the PBE-GGA level of DFT.

Computed properties:
For the formation energy from the elements, the calculation gives -0.368 eV/atom. Its calculated density is 7.7 g/cm3. The value obtained for the excess energy over the best structure of this formula in the dataset is 195 meV per atom. As for the symmetry: No. 156.

Structure (POSCAR):
```
SrErAu
1.0
-4.524 -0.395 -0.994
-0.203 -4.182 2.587
-0.863 4.308 2.216
Sr Au Er
1 1 1
Cartesian
-3.475 -1.618 1.792
-0.677 -0.059 -0.149
-1.438 1.409 2.165
```



Computed, not measured: crystalline SrErTlAu at its relaxed geometry at the PBE-GGA level of DFT.

Computed properties:
For the formation energy from the elements, the calculation gives -0.482 eV/atom. Its calculated density is 9.9 g/cm3. As for the symmetry: No. 216.

Structure (POSCAR):
```
SrErTlAu
1.0
-0.615 -4.862 -2.226
4.323 -2.880 -1.411
1.314 -4.418 2.779
Sr Tl Au Er
1 1 1 1
Cartesian
1.256 -3.040 -0.214
2.511 -6.080 -0.429
0.000 0.000 0.000
3.767 -9.120 -0.643
```



Computed, not measured: crystalline SrErZnAu at its relaxed geometry at the PBE-GGA level of DFT.

Computed properties:
For the formation energy from the elements, the calculation gives -0.441 eV/atom. Its calculated density is 8.5 g/cm3. As for the symmetry: No. 216.

Structure (POSCAR):
```
SrErZnAu
1.0
-1.500 -4.113 -2.850
0.500 -4.832 1.922
-4.246 -2.719 1.369
Sr Zn Au Er
1 1 1 1
Cartesian
-3.934 -8.748 0.331
-2.623 -5.832 0.221
0.000 0.000 0.000
-1.311 -2.916 0.110
```



Computed, not measured: crystalline TbEr2Au at its relaxed geometry at the PBE-GGA level of DFT.

Computed properties:
For the formation energy from the elements, the calculation gives -0.297 eV/atom. Its calculated density is 9.8 g/cm3. The value obtained for the excess energy over the best structure of this formula in the dataset is 156 meV per atom. As for the symmetry: No. 160.

Structure (POSCAR):
```
TbEr2Au
1.0
3.716 0.000 0.000
1.858 3.218 0.000
1.858 1.073 9.734
Tb Er Au
1 2 1
Cartesian
3.716 2.146 4.841
1.858 1.073 7.723
1.858 1.073 2.016
3.716 2.146 0.021
```



Computed, not measured: crystalline TbEr4Au2 at its relaxed geometry at the PBE-GGA level of DFT.

Computed properties:
For the formation energy from the elements, the calculation gives -0.274 eV/atom. Its calculated density is 9.7 g/cm3. As for the symmetry: No. 166.

Structure (POSCAR):
```
TbEr4Au2
1.0
-0.616 -4.841 -0.238
3.435 -2.801 -2.056
5.463 -3.562 8.174
Tb Er Au
1 4 2
Cartesian
4.141 -5.602 2.940
6.876 -8.553 5.723
4.187 -7.949 0.408
1.406 -2.652 0.156
4.096 -3.256 5.472
2.762 -5.293 0.214
5.521 -5.912 5.666
```